# RbAsSe2F | Alexandria | PBE | optimized geometry
# Mass density = 4.49 g/cm³
# E_form (uncorrected) = -62.2 kJ/mol of formula units
data_RbAsSe2F
_space_group_name_H-M_alt 'P 4/m m m'
_space_group_IT_number 123
_space_group_name_Hall '-P 4 2'
_cell_length_a 5.482
_cell_length_b 5.482
_cell_length_c 4.149
_cell_angle_alpha 90.00
_cell_angle_beta 90.00
_cell_angle_gamma 90.00
loop_
_atom_site_label
_atom_site_fract_x
_atom_site_fract_y
_atom_site_fract_z
Rb1 0.000 0.000 0.000
As1 0.500 0.500 0.000
Se1 0.000 0.500 0.500
F1 0.500 0.500 0.500


# PrSnHg4 | Alexandria | PBE | optimized geometry
# Mass density = 11.16 g/cm³
# Formation energy from the elements = -119 meV per atom
data_PrSnHg4
_space_group_name_H-M_alt 'F -4 3 m'
_space_group_IT_number 216
_space_group_name_Hall 'F -4 2 3'
_cell_length_a 8.581
_cell_length_b 8.581
_cell_length_c 8.581
_cell_angle_alpha 90.00
_cell_angle_beta 90.00
_cell_angle_gamma 90.00
loop_
_atom_site_label
_atom_site_fract_x
_atom_site_fract_y
_atom_site_fract_z
Pr1 0.000 0.000 0.000
Sn1 0.250 0.250 0.250
Hg1 0.125 0.125 0.625


# LaScMn | Alexandria | PBE | optimized geometry
# Mass density = 5.31 g/cm³
# Formation energy from the elements = 275 meV per atom
data_LaScMn
_space_group_name_H-M_alt 'P 3 m 1'
_space_group_IT_number 156
_cell_length_a 5.0005
_cell_length_b 5.0005
_cell_length_c 3.4498
_cell_angle_alpha 90.00
_cell_angle_beta 90.00
_cell_angle_gamma 120.00
loop_
_space_group_symop_operation_xyz
'x,y,z'
'-y,x-y,z'
'-x+y,-x,z'
'-y,-x,z'
'-x+y,y,z'
'x,x-y,z'
loop_
_atom_site_label
_atom_site_fract_x
_atom_site_fract_y
_atom_site_fract_z
La1 0.0000 0.0000 0.0000
Sc1 0.3333 0.6667 0.5024
Mn1 0.6667 0.3333 0.4953


# Mn2GaN | Alexandria | PBE | optimized geometry
# Mass density = 7.06 g/cm³
# E_form (uncorrected) = -27.3 kJ/mol of formula units
data_Mn2GaN
_space_group_name_H-M_alt 'I m m 2'
_space_group_IT_number 44
_cell_length_a 2.734
_cell_length_b 3.348
_cell_length_c 9.954
_cell_angle_alpha 90.00
_cell_angle_beta 90.00
_cell_angle_gamma 90.00
loop_
_space_group_symop_operation_xyz
'x,y,z'
'-x,-y,z'
'-x,y,z'
'x,-y,z'
'x+1/2,y+1/2,z+1/2'
'-x+1/2,-y+1/2,z+1/2'
'-x+1/2,y+1/2,z+1/2'
'x+1/2,-y+1/2,z+1/2'
loop_
_atom_site_label
_atom_site_fract_x
_atom_site_fract_y
_atom_site_fract_z
Mn1 0.000 0.000 0.000
Mn2 0.000 0.000 0.292
Ga1 0.000 0.000 0.635
N1 0.000 0.500 0.374


# BaCN2O | Alexandria | PBE | optimized geometry
# Mass density = 4.83 g/cm³
# E_form (uncorrected) = 545.5 kJ/mol of formula units
data_BaCN2O
_space_group_name_H-M_alt 'P 4/m m m'
_space_group_IT_number 123
_space_group_name_Hall '-P 4 2'
_cell_length_a 3.394
_cell_length_b 3.394
_cell_length_c 5.774
_cell_angle_alpha 90.00
_cell_angle_beta 90.00
_cell_angle_gamma 90.00
loop_
_atom_site_label
_atom_site_fract_x
_atom_site_fract_y
_atom_site_fract_z
Ba1 0.000 0.000 0.000
C1 0.500 0.500 0.500
N1 0.000 0.500 0.500
O1 0.500 0.500 0.000